No. 1
This record from the Alexandria database describes a relaxed ZnPRhSe crystal. The functional is PBE.

Computed properties:
Fermi-level density of states, states/eV/f.u.: 2.44
Energy relative to the lowest polymorph listed for this composition, meV/atom: 131

a = 2.8428 Å, b = 2.8424 Å, c = 18.5851 Å
α = 90.00°, β = 98.49°, γ = 90.00°
With the nearest neighbours (Å) after each atom.
Atoms (fractional coordinates):
Se 0.1156 0.0000 0.7735  1 Zn 2.46
Zn 0.2455 0.5000 0.4071  1 Se 2.46, 4 Rh 2.72
Se 0.1156 0.5000 0.2735  1 Zn 2.46
Rh 0.8428 0.0000 0.5068  4 P 2.45, 4 Zn 2.72
Rh 0.8428 0.5000 0.0068  4 P 2.45, 4 Zn 2.72
P 0.4159 0.5000 0.5826  4 Rh 2.45
P 0.4159 0.0000 0.0826  4 Rh 2.45
Zn 0.2455 0.0000 0.9071  1 Se 2.46, 4 Rh 2.72

---

No. 2
This record from the Alexandria database describes a relaxed Pr3NdTe6 crystal. The functional is PBE.

Computed properties:
Energy relative to the lowest polymorph listed for this composition, meV/atom: 0

a = 7.5196 Å, b = 8.4130 Å, c = 11.5536 Å
α = 90.00°, β = 90.30°, γ = 90.00°
With the nearest neighbours (Å) after each atom.
Atoms (fractional coordinates):
Te 0.3392 0.8244 0.0835  1 Nd 3.10, 3 Pr 3.14-3.36
Te 0.6671 0.4434 0.2513  1 Nd 3.18, 3 Pr 3.19-3.26
Nd 0.0000 0.0000 0.0000  6 Te 3.10-3.18
Te 0.1671 0.0566 0.7513  1 Nd 3.18, 3 Pr 3.19-3.26
Pr 0.4470 0.1190 0.2509  6 Te 3.19-3.37
Pr 0.0530 0.6190 0.2491  6 Te 3.19-3.37
Te 0.1608 0.3244 0.4165  1 Nd 3.10, 3 Pr 3.14-3.36
Te 0.1591 0.3233 0.0826  3 Pr 3.12-3.37, 1 Nd 3.12
Pr 0.5530 0.8810 0.7491  6 Te 3.19-3.37
Pr 0.9470 0.3810 0.7509  6 Te 3.19-3.37
Te 0.8409 0.6767 0.9174  3 Pr 3.12-3.37, 1 Nd 3.12
Te 0.8392 0.6756 0.5835  1 Nd 3.10, 3 Pr 3.14-3.36
Te 0.3409 0.8233 0.4174  3 Pr 3.12-3.37, 1 Nd 3.12
Nd 0.5000 0.5000 0.5000  6 Te 3.10-3.18
Pr 0.5000 0.5000 0.0000  6 Te 3.12-3.19
Te 0.8329 0.9434 0.2487  1 Nd 3.18, 3 Pr 3.19-3.26
Te 0.6591 0.1767 0.5826  3 Pr 3.12-3.37, 1 Nd 3.12
Te 0.3329 0.5566 0.7487  1 Nd 3.18, 3 Pr 3.19-3.26
Pr 0.0000 0.0000 0.5000  6 Te 3.12-3.19
Te 0.6608 0.1756 0.9165  1 Nd 3.10, 3 Pr 3.14-3.36

---

No. 3
This record from the Alexandria database describes a relaxed Sr2AgHI crystal. The functional is PBE.

Computed properties:
Fermi-level density of states, states/eV/f.u.: 4.35
Final energy, eV/atom: -2.66

a = 5.9066 Å, b = 3.9043 Å, c = 5.9066 Å
α = 90.00°, β = 90.00°, γ = 90.00°
With the nearest neighbours (Å) after each atom.
Atoms (fractional coordinates):
Ag 0.0000 0.5000 0.0000  2 H 1.95
Sr 0.0000 0.0000 0.5000  2 H 2.95
H 0.0000 0.0000 0.0000  2 Ag 1.95
I 0.5000 0.5000 0.5000  8 Sr 3.54, 2 I 3.90
Sr 0.5000 0.0000 0.0000  2 H 2.95

---

No. 4
This record from the Alexandria database describes a relaxed YSi crystal. The functional is PBE.

Computed properties:
Fermi-level density of states, states/eV/f.u.: 1.55
Final energy, eV/atom: -6.38

a = 5.6638 Å, b = 5.6638 Å, c = 7.1901 Å
α = 81.32°, β = 81.32°, γ = 37.84°
With the nearest neighbours (Å) after each atom.
Atoms (fractional coordinates):
Y 0.2695 0.2695 0.8506  5 Si 2.95-3.21
Y 0.0330 0.0330 0.5079  5 Si 2.80-3.13
Y 0.9741 0.9741 0.0909  5 Si 2.82-3.07
Si 0.7017 0.7017 0.2182  2 Si 2.49
Si 0.3068 0.3068 0.3687  2 Si 2.49
Si 0.5483 0.5483 0.7971  7 Y 2.80-3.07

---

No. 5
This record from the Alexandria database describes a relaxed BePOs2 crystal. The functional is PBE.

Computed properties:
Fermi-level density of states, states/eV/f.u.: 3.04
Final energy, eV/atom: -8.05

a = 2.9458 Å, b = 2.9458 Å, c = 5.5664 Å
α = 90.00°, β = 90.00°, γ = 90.00°
With the nearest neighbours (Å) after each atom.
Atoms (fractional coordinates):
P 0.0000 0.0000 0.5206  5 Os 2.32-2.42, 4 Be 2.43
Be 0.5000 0.5000 0.7448  5 Os 2.34-2.49, 4 P 2.43
Os 0.5000 0.5000 0.2979  4 P 2.42, 1 Be 2.49
Os 0.0000 0.0000 0.9367  1 P 2.32, 4 Be 2.34

---

No. 6
This record from the Alexandria database describes a relaxed La4Y5Er2 crystal. The functional is PBE.

Computed properties:
Fermi-level density of states, states/eV/f.u.: 18.25
Final energy, eV/atom: -5.41

a = 12.2591 Å, b = 12.2591 Å, c = 9.1560 Å
α = 70.93°, β = 70.93°, γ = 16.98°
With the nearest neighbours (Å) after each atom.
Atoms (fractional coordinates):
Y 0.5000 0.5000 0.0000  10 Y 3.59-3.88, 4 La 4.00
Er 0.7140 0.7140 0.6477  4 Er 3.24-3.62, 4 Y 3.35-3.44, 2 La 3.50
Y 0.9038 0.9038 0.3718  2 La 3.32-3.49, 3 Y 3.35-3.62, 2 Er 3.44
Y 0.8673 0.8673 0.0497  3 La 3.29-3.63, 5 Y 3.35-3.62, 2 Er 3.35
La 0.6912 0.6912 0.2098  2 Er 3.50, 4 La 3.62-3.65, 2 Y 3.63
La 0.9470 0.9470 0.6805  3 Y 3.29-3.49, 5 La 3.45-3.65
Y 0.0962 0.0962 0.6282  2 La 3.32-3.49, 3 Y 3.35-3.62, 2 Er 3.44
La 0.0530 0.0530 0.3195  3 Y 3.29-3.49, 5 La 3.45-3.65
Er 0.2860 0.2860 0.3523  4 Er 3.24-3.62, 4 Y 3.35-3.44, 2 La 3.50
Y 0.1327 0.1327 0.9503  3 La 3.29-3.63, 5 Y 3.35-3.62, 2 Er 3.35
La 0.3088 0.3088 0.7902  2 Er 3.50, 4 La 3.62-3.65, 2 Y 3.63

---

The calculation returns the following spin magnetization values, one per record and in order: 0.00 0.00 0.00 0.00 0.00 0.00 μB/atom.